[1]
Below is InBi2Au3 after structural relaxation, with properties calculated at the PBE level.

The structure in POSCAR format:
```
InBi2Au3
1.0
-3.304 0.136 4.549
-6.293 1.017 -4.601
2.328 -7.332 1.911
Au Bi In
6 4 2
Cartesian
-5.003 -1.531 -0.216 Au
-7.892 1.083 -2.393 Au
-3.819 -4.582 4.212 Au
-3.258 0.135 4.478 Au
-6.652 -1.464 2.060 Au
-2.169 -4.650 1.936 Au
-7.137 -3.730 0.035 Bi
-3.729 -2.053 2.460 Bi
-3.438 -4.129 -0.743 Bi
-0.029 -2.452 1.683 Bi
-6.684 0.788 0.238 In
-2.820 0.362 -0.418 In
```

**Energy of formation from the pure elements**: -0.122 eV per atom
**Electronic total energy**: -0.1290 Ha/atom

***

[2]
Below is Sm4IrSe3 after structural relaxation, with properties calculated at the PBE level.

The structure in POSCAR format:
```
Sm4IrSe3
1.0
-3.857 -1.728 -4.057
-5.697 -2.316 6.403
-3.812 8.906 -0.170
Ir Se Sm
2 6 8
Cartesian
-8.963 1.493 3.110 Ir
-1.065 -0.444 0.657 Ir
-6.812 5.041 3.783 Se
-4.921 0.624 3.868 Se
-5.107 0.426 -0.101 Se
-7.029 4.916 -0.187 Se
-3.177 3.926 0.802 Se
-6.852 -2.876 2.964 Se
-4.991 5.995 1.646 Sm
-5.025 3.095 -1.316 Sm
-6.992 2.375 5.090 Sm
-8.850 3.961 1.951 Sm
-2.944 1.214 1.737 Sm
-3.037 -1.325 -1.323 Sm
-5.003 -2.045 5.083 Sm
-7.084 -0.164 2.030 Sm
```

**Electronic total energy**: -0.2230 Ha/atom
**E_form (uncorrected)**: -125.0 kJ per mole of atoms
**ΔE to the lowest computed polymorph**: 0.2422 eV/atom

***

[3]
Below is Zn4Cr3 after structural relaxation, with properties calculated at the PBE level.

The structure in POSCAR format:
```
Zn4Cr3
1.0
-1.473 1.473 11.137
1.473 -1.473 11.137
1.473 1.473 -11.137
Zn Cr
4 3
Cartesian
0.000 0.000 18.895 Zn
0.000 0.000 3.378 Zn
0.000 0.000 9.412 Zn
0.000 0.000 12.861 Zn
0.000 0.000 16.166 Cr
0.000 0.000 6.107 Cr
0.000 0.000 0.000 Cr
```

**Energy of formation from the pure elements**: 0.160 eV per atom
**Electronic total energy**: -0.1724 Ha/atom

***

[4]
Below is Li5Sn6Bi after structural relaxation, with properties calculated at the PBE level.

The structure in POSCAR format:
```
Li5Sn6Bi
1.0
-2.233 0.961 -3.828
4.052 -6.904 -4.097
-5.905 -1.085 5.859
Sn Li Bi
6 5 1
Cartesian
1.243 -6.441 -2.342 Sn
-5.330 -0.588 0.275 Sn
1.805 -4.498 -4.868 Sn
0.013 -1.445 -3.057 Sn
-0.627 -3.253 -0.451 Sn
-3.459 -3.775 -1.616 Sn
2.026 -3.452 -2.048 Li
-1.396 -6.231 -0.750 Li
-0.879 -4.424 -3.284 Li
-3.207 -2.605 1.217 Li
-2.690 -0.798 -1.317 Li
0.000 0.000 0.000 Bi
```

**Energy of formation from the pure elements**: -0.245 eV per atom
**Electronic total energy**: -0.1237 Ha/atom

***

[5]
Below is Tb4NdHo2Sc after structural relaxation, with properties calculated at the PBE level.

The structure in POSCAR format:
```
Tb4NdHo2Sc
1.0
-1.698 3.070 -0.492
-4.937 -3.036 -1.899
-5.561 -1.441 10.190
Ho Tb Nd Sc
2 4 1 1
Cartesian
-5.561 -1.441 10.190 Ho
-3.629 0.814 4.849 Ho
-7.891 -3.355 6.300 Tb
-4.305 1.947 1.498 Tb
-5.922 -1.100 0.823 Tb
-6.274 -0.308 6.975 Tb
-5.249 -2.239 4.145 Nd
-3.318 0.017 -1.196 Sc
```

**Energy of formation from the pure elements**: 0.034 eV per atom
**Electronic total energy**: -0.1769 Ha/atom

***

[6]
Below is Er2InSn2Rh5 after structural relaxation, with properties calculated at the PBE level.

The structure in POSCAR format:
```
Er2InSn2Rh5
1.0
3.744 0.000 0.000
0.000 10.094 0.000
0.000 0.000 10.094
Rh Er Sn In
10 4 4 2
Cartesian
1.872 2.035 0.636 Rh
1.872 3.012 5.683 Rh
1.872 5.683 7.082 Rh
1.872 5.047 0.000 Rh
1.872 4.411 3.012 Rh
1.872 0.636 8.059 Rh
1.872 8.059 9.458 Rh
1.872 0.000 5.047 Rh
1.872 7.082 4.411 Rh
1.872 9.458 2.035 Rh
0.000 1.722 3.325 Er
0.000 3.325 8.372 Er
0.000 8.372 6.769 Er
0.000 6.769 1.722 Er
0.000 6.338 8.803 Sn
0.000 8.803 3.756 Sn
0.000 3.756 1.291 Sn
0.000 1.291 6.338 Sn
0.000 0.000 0.000 In
0.000 5.047 5.047 In
```

**Energy of formation from the pure elements**: -0.587 eV per atom
**Electronic total energy**: -0.2297 Ha/atom

***

[7]
Below is BeB2 after structural relaxation, with properties calculated at the PBE level.

The structure in POSCAR format:
```
BeB2
1.0
-0.763 -1.533 -2.901
2.421 -4.233 1.599
-2.570 -1.495 -0.066
B Be
4 2
Cartesian
-0.517 -1.326 -0.859 B
-1.327 -2.889 -0.858 B
-0.545 -4.257 -0.342 B
1.122 -4.191 0.223 B
0.420 -5.908 -0.600 Be
0.157 -2.540 0.482 Be
```

**Energy of formation from the pure elements**: -0.108 eV per atom
**Electronic total energy**: -0.2132 Ha/atom
**ΔE to the lowest computed polymorph**: 0.0000 eV/atom

***

[8]
Below is Ti2NiOs2 after structural relaxation, with properties calculated at the PBE level.

The structure in POSCAR format:
```
Ti2NiOs2
1.0
-1.264 5.362 4.027
-4.326 2.479 -4.659
-2.474 -1.649 1.419
Ti Ni Os
4 2 4
Cartesian
-3.720 4.453 2.514 Ti
-2.386 1.369 1.257 Ti
-5.678 4.822 -0.469 Ti
-4.344 1.739 -1.726 Ti
0.000 0.000 0.000 Ni
-2.795 3.921 -0.316 Ni
-1.744 1.634 -1.142 Os
-1.396 3.752 1.927 Os
-4.194 4.089 -2.559 Os
-3.845 6.207 0.511 Os
```

**Energy of formation from the pure elements**: -0.050 eV per atom
**Electronic total energy**: -0.3255 Ha/atom

***

[9]
Below is SrTcP2 after structural relaxation, with properties calculated at the PBE level.

The structure in POSCAR format:
```
SrTcP2
1.0
-2.476 2.995 -1.396
-4.039 0.032 -0.857
-2.523 2.277 5.200
Sr P Tc
1 2 1
Cartesian
-6.778 3.978 2.210 Sr
-6.626 3.179 -1.739 P
-4.408 2.500 0.959 P
-2.259 1.326 0.737 Tc
```

**Energy of formation from the pure elements**: -0.539 eV per atom
**Electronic total energy**: -0.2299 Ha/atom
**ΔE to the lowest computed polymorph**: 0.0331 eV/atom

***

[10]
Below is CdICl2 after structural relaxation, with properties calculated at the PBE level.

The structure in POSCAR format:
```
CdICl2
1.0
-5.316 -1.348 -5.691
5.489 -3.805 -4.226
-1.119 -6.635 -2.871
Cl I Cd
4 2 2
Cartesian
1.838 -4.370 -4.764 Cl
-2.268 -2.813 -4.109 Cl
-0.106 -7.372 -6.387 Cl
-1.358 -9.021 -10.315 Cl
0.000 0.000 0.000 I
-3.175 -5.280 -6.760 I
0.086 -2.577 -4.959 Cd
2.228 -6.508 -6.028 Cd
```

**Electronic total energy**: -0.0737 Ha/atom
**E_form (uncorrected)**: -44.9 kJ per mole of atoms
**ΔE to the lowest computed polymorph**: 0.2950 eV/atom

***

[11]
Below is In2ReAs after structural relaxation, with properties calculated at the PBE level.

The structure in POSCAR format:
```
In2ReAs
1.0
3.115 0.000 0.000
0.000 3.115 0.000
0.000 0.000 8.626
Re In As
1 2 1
Cartesian
0.000 0.000 4.567 Re
0.000 0.000 8.510 In
1.558 1.558 2.596 In
1.558 1.558 5.892 As
```

**Energy of formation from the pure elements**: 0.188 eV per atom
**Electronic total energy**: -0.2005 Ha/atom

***

[12]
Below is ThAl2Ag9 after structural relaxation, with properties calculated at the PBE level.

The structure in POSCAR format:
```
ThAl2Ag9
1.0
6.478 0.000 2.982
3.239 8.017 1.491
-0.114 0.000 8.774
Th Ag Al
2 18 4
Cartesian
3.182 4.009 5.878 Th
3.239 0.000 1.491 Th
1.408 2.564 8.794 Ag
2.221 0.618 7.026 Ag
4.244 5.453 2.634 Ag
6.612 4.626 10.280 Ag
6.230 4.626 4.459 Ag
4.143 0.618 4.730 Ag
3.430 7.400 4.402 Ag
1.464 1.445 4.407 Ag
0.000 0.000 0.000 Ag
5.417 6.573 6.227 Ag
7.426 6.573 8.512 Ag
2.121 5.453 9.123 Ag
4.957 2.564 2.962 Ag
6.421 4.009 7.369 Ag
2.278 3.391 2.639 Ag
4.900 1.445 7.349 Ag
2.935 7.400 7.355 Ag
4.086 3.391 9.117 Ag
6.450 2.004 5.176 Al
8.069 6.013 5.921 Al
6.393 2.004 9.563 Al
4.773 6.013 8.817 Al
```

**Energy of formation from the pure elements**: -0.060 eV per atom
**Electronic total energy**: -0.1264 Ha/atom

***

[13]
Below is BaPtSe after structural relaxation, with properties calculated at the PBE level.

The structure in POSCAR format:
```
BaPtSe
1.0
-4.055 -2.235 0.243
3.074 -6.191 -5.593
1.102 -1.537 4.255
Ba Se Pt
2 2 2
Cartesian
0.823 -7.559 -4.752 Ba
-0.302 -5.108 -1.011 Ba
1.785 -3.815 1.465 Se
2.759 -5.976 -2.145 Se
-0.671 -4.112 1.992 Pt
0.730 -1.793 2.462 Pt
```

**Electronic total energy**: -0.1816 Ha/atom
**E_form (uncorrected)**: -108.6 kJ per mole of atoms

***

[14]
Below is TlOs2N after structural relaxation, with properties calculated at the PBE level.

The structure in POSCAR format:
```
TlOs2N
1.0
-2.371 -2.258 -2.920
-3.120 2.024 -2.327
0.569 0.694 -4.294
Tl N Os
1 1 2
Cartesian
-2.461 0.230 -4.771 Tl
0.000 0.000 0.000 N
-3.691 0.345 -7.156 Os
-1.230 0.115 -2.385 Os
```

**Electronic total energy**: -0.2249 Ha/atom
**E_form (uncorrected)**: 209.1 kJ per mole of atoms
**ΔE to the lowest computed polymorph**: 1.3164 eV/atom

***

[15]
Below is InAgP2 after structural relaxation, with properties calculated at the PBE level.

The structure in POSCAR format:
```
InAgP2
1.0
-2.945 -1.183 0.183
0.502 -1.663 -2.663
2.542 -5.705 4.043
P In Ag
2 1 1
Cartesian
-0.710 -2.571 -0.426 P
0.202 -0.454 0.322 P
0.677 -5.683 1.779 In
1.201 -2.696 1.910 Ag
```

**Energy of formation from the pure elements**: 0.263 eV per atom
**Electronic total energy**: -0.1411 Ha/atom

***

[16]
Below is SrHfSb3 after structural relaxation, with properties calculated at the PBE level.

The structure in POSCAR format:
```
SrHfSb3
1.0
-4.145 -2.637 2.585
2.987 -4.679 0.016
2.172 1.403 4.913
Sr Hf Sb
1 1 3
Cartesian
0.507 -2.957 3.757 Sr
0.000 0.000 0.000 Hf
1.494 -2.340 0.008 Sb
-2.073 -1.319 1.293 Sb
1.086 0.702 2.456 Sb
```

**Electronic total energy**: -0.1879 Ha/atom
**E_form (uncorrected)**: -30.2 kJ per mole of atoms
**ΔE to the lowest computed polymorph**: 0.0000 eV/atom

***

[17]
Below is LaFe2Te after structural relaxation, with properties calculated at the PBE level.

The structure in POSCAR format:
```
LaFe2Te
1.0
3.385 0.284 0.000
-0.286 3.385 0.000
0.000 0.000 7.126
Fe La Te
2 1 1
Cartesian
0.000 0.000 0.247 Fe
1.549 1.834 1.301 Fe
0.000 0.000 3.354 La
1.549 1.834 5.786 Te
```

**Electronic total energy**: -0.2287 Ha/atom
**E_form (uncorrected)**: 2.3 kJ per mole of atoms

***

[18]
Below is LiHgW2I after structural relaxation, with properties calculated at the PBE level.

The structure in POSCAR format:
```
LiHgW2I
1.0
5.290 0.000 0.000
0.000 6.732 0.000
0.000 0.000 5.290
I W Li Hg
1 2 1 1
Cartesian
0.000 3.366 0.000 I
0.000 0.000 2.645 W
2.645 0.000 0.000 W
2.645 3.366 2.645 Li
0.000 0.000 0.000 Hg
```

**Electronic total energy**: -0.1340 Ha/atom
**E_form (uncorrected)**: 220.7 kJ per mole of atoms
**ΔE to the lowest computed polymorph**: 0.2792 eV/atom

***

[19]
Below is Ce3TcGe2 after structural relaxation, with properties calculated at the PBE level.

The structure in POSCAR format:
```
Ce3TcGe2
1.0
8.257 0.102 0.073
1.086 5.781 -1.472
1.086 0.497 5.945
Tc Ce Ge
2 6 4
Cartesian
3.150 5.707 -1.314 Tc
7.278 0.673 5.860 Tc
4.495 1.871 0.933 Ce
5.933 4.509 3.612 Ce
3.150 1.795 4.177 Ce
8.624 1.544 1.500 Ce
1.805 4.836 3.045 Ce
7.278 4.585 0.368 Ce
2.021 3.776 0.100 Ge
8.407 2.604 4.446 Ge
4.279 5.001 0.973 Ge
6.150 1.379 3.573 Ge
```

**Energy of formation from the pure elements**: -0.428 eV per atom
**Electronic total energy**: -0.2448 Ha/atom
**ΔE to the lowest computed polymorph**: 0.1458 eV/atom

***

[20]
Below is LaIn2Pd4 after structural relaxation, with properties calculated at the PBE level.

The structure in POSCAR format:
```
LaIn2Pd4
1.0
-2.839 -4.220 2.712
-4.349 -2.635 -2.528
1.671 -5.401 -0.530
Pd La In
4 1 2
Cartesian
-0.992 -6.187 1.585 Pd
-4.590 -4.534 0.392 Pd
-2.599 -2.321 -0.207 Pd
-0.176 -3.435 0.597 Pd
0.000 0.000 0.000 La
-3.468 -7.183 0.506 In
-2.049 -5.073 -0.851 In
```

**Energy of formation from the pure elements**: -0.686 eV per atom
**Electronic total energy**: -0.1889 Ha/atom

***

[21]
Below is ZnCr2H after structural relaxation, with properties calculated at the PBE level.

The structure in POSCAR format:
```
ZnCr2H
1.0
-2.382 -0.967 3.306
-0.269 2.648 3.234
-3.559 2.094 0.701
Cr Zn H
2 1 1
Cartesian
-4.658 2.831 5.431 Cr
-1.553 0.944 1.810 Cr
-3.105 1.887 3.621 Zn
0.000 0.000 0.000 H
```

**Electronic total energy**: -0.1865 Ha/atom
**ΔE to the lowest computed polymorph**: 0.7371 eV/atom

***

[22]
Below is Nd2AgIr after structural relaxation, with properties calculated at the PBE level.

The structure in POSCAR format:
```
Nd2AgIr
1.0
4.204 0.000 0.000
2.102 3.641 0.000
2.102 1.214 7.356
Nd Ag Ir
2 1 1
Cartesian
2.102 1.214 1.526 Nd
6.306 3.641 5.830 Nd
4.204 2.427 3.678 Ag
0.000 0.000 0.000 Ir
```

**Energy of formation from the pure elements**: -0.410 eV per atom
**Electronic total energy**: -0.2103 Ha/atom
**ΔE to the lowest computed polymorph**: 0.0914 eV/atom

***

[23]
Below is NdLuRh4 after structural relaxation, with properties calculated at the PBE level.

The structure in POSCAR format:
```
NdLuRh4
1.0
5.355 0.000 0.000
2.678 4.638 0.000
2.678 1.546 4.373
Rh Nd Lu
4 1 1
Cartesian
6.691 3.863 2.732 Rh
5.355 3.092 0.550 Rh
5.355 1.550 2.732 Rh
4.020 3.863 2.732 Rh
0.000 0.000 0.000 Nd
2.678 1.546 1.093 Lu
```

**Energy of formation from the pure elements**: -0.698 eV per atom
**Electronic total energy**: -0.2627 Ha/atom

***

[24]
Below is Cr3MoP after structural relaxation, with properties calculated at the PBE level.

The structure in POSCAR format:
```
Cr3MoP
1.0
-2.622 0.980 -3.100
2.659 -1.646 -2.769
-1.871 -3.712 0.409
P Cr Mo
1 3 1
Cartesian
0.000 0.000 0.000 P
1.330 -0.823 -1.385 Cr
-0.936 -1.856 0.205 Cr
-1.311 0.490 -1.550 Cr
-0.917 -2.189 -2.730 Mo
```

**Energy of formation from the pure elements**: 0.593 eV per atom
**Electronic total energy**: -0.3098 Ha/atom
**ΔE to the lowest computed polymorph**: 0.0000 eV/atom